No. 1
First-principles (PBE-GGA) data for a geometry-optimized NaMgHg2 structure, as listed in Alexandria. Values from VASP.

```
&SYSTEM
  ibrav = 0, nat = 4, ntyp = 3
/
ATOMIC_SPECIES
Hg 200.59 Hg.upf
Mg 24.30 Mg.upf
Na 22.99 Na.upf
CELL_PARAMETERS angstrom
5.9019 -1.6780 -3.1980
-1.6129 5.9201 3.1980
-4.3053 0.0637 5.4163
ATOMIC_POSITIONS crystal
Hg 0.0000 0.2605 0.2605
Hg 0.0000 0.7395 0.7395
Mg 0.0000 0.5000 0.5000
Na 0.0000 0.0000 0.0000
```

Results
As for the formation enthalpy at 0 K: 0.0602 eV per atom. For the uncorrected energy, the calculation gives -3.3 eV per cell. The calculation puts the spin magnetization at 0.0 μB/f.u. The calculation puts the density at 6.5 g/cm³.



No. 2
First-principles (PBE-GGA) data for a geometry-optimized NaMgHg3 structure, as listed in Alexandria. Values from VASP.

```
&SYSTEM
  ibrav = 0, nat = 10, ntyp = 3
/
ATOMIC_SPECIES
Mg 24.30 Mg.upf
Na 22.99 Na.upf
Hg 200.59 Hg.upf
CELL_PARAMETERS angstrom
3.3567 0.0000 -0.4622
0.0000 4.8458 0.0000
0.3283 0.0000 14.8052
ATOMIC_POSITIONS crystal
Mg 0.7863 0.2500 0.5726
Mg 0.2137 0.7500 0.4274
Na 0.0787 0.2500 0.1573
Na 0.9213 0.7500 0.8427
Hg 0.3106 0.7500 0.6212
Hg 0.4724 0.2500 0.9448
Hg 0.6275 0.7500 0.2551
Hg 0.3725 0.2500 0.7449
Hg 0.5276 0.7500 0.0552
Hg 0.6894 0.2500 0.3788
```

Results
As for the formation enthalpy at 0 K: -0.2027 eV per atom. As for the energy above the most stable polymorph in this dataset: 0.000 eV per atom. For the uncorrected energy, the calculation gives -9.7 eV per cell. The calculation puts the spin magnetization at 0.0 μB/f.u. The calculation puts the density at 8.9 g/cm³.



No. 3
First-principles (PBE-GGA) data for a geometry-optimized NaMg2Hg9 structure, as listed in Alexandria. Values from VASP.

```
&SYSTEM
  ibrav = 0, nat = 12, ntyp = 3
/
ATOMIC_SPECIES
Hg 200.59 Hg.upf
Mg 24.30 Mg.upf
Na 22.99 Na.upf
CELL_PARAMETERS angstrom
4.6607 0.0000 0.0000
0.0000 4.6607 0.0000
0.0000 0.0000 13.5367
ATOMIC_POSITIONS crystal
Hg 0.0000 0.5000 0.5000
Hg 0.5000 0.0000 0.1735
Hg 0.5000 0.5000 0.6616
Hg 0.0000 0.5000 0.8265
Hg 0.5000 0.0000 0.8265
Hg 0.5000 0.5000 0.0000
Hg 0.0000 0.5000 0.1735
Hg 0.5000 0.0000 0.5000
Hg 0.5000 0.5000 0.3384
Mg 0.0000 0.0000 0.3390
Mg 0.0000 0.0000 0.6610
Na 0.0000 0.0000 0.0000
```

Results
As for the formation enthalpy at 0 K: -0.1043 eV per atom. For the uncorrected energy, the calculation gives -8.5 eV per cell. The calculation puts the spin magnetization at 0.0 μB/f.u. The calculation puts the density at 10.6 g/cm³.



No. 4
First-principles (PBE-GGA) data for a geometry-optimized NaMgHg structure, as listed in Alexandria. Values from VASP.

```
&SYSTEM
  ibrav = 0, nat = 3, ntyp = 3
/
ATOMIC_SPECIES
Na 22.99 Na.upf
Hg 200.59 Hg.upf
Mg 24.30 Mg.upf
CELL_PARAMETERS angstrom
-1.1186 -0.9161 -4.7225
-4.5352 -1.5360 -1.2104
-3.0577 3.0127 -2.4427
ATOMIC_POSITIONS crystal
Na 0.5000 0.5000 0.5000
Hg 0.2500 0.2500 0.2500
Mg 0.0000 0.0000 0.0000
```

Results
As for the formation enthalpy at 0 K: -0.0546 eV per atom. As for the energy above the most stable polymorph in this dataset: 0.108 eV per atom. For the uncorrected energy, the calculation gives -3.4 eV per cell. The calculation puts the spin magnetization at 0.0 μB/f.u. The calculation puts the density at 4.8 g/cm³.



No. 5
First-principles (PBE-GGA) data for a geometry-optimized Na15MgHg4 structure, as listed in Alexandria. Values from VASP.

```
&SYSTEM
  ibrav = 0, nat = 20, ntyp = 3
/
ATOMIC_SPECIES
Mg 24.30 Mg.upf
Na 22.99 Na.upf
Hg 200.59 Hg.upf
CELL_PARAMETERS angstrom
5.0097 0.0000 0.0000
0.0000 5.0097 0.0000
0.0000 0.0000 23.5356
ATOMIC_POSITIONS crystal
Mg 0.0000 0.0000 0.0000
Na 0.5000 0.0000 0.8937
Na 0.5000 0.5000 0.7959
Na 0.5000 0.0000 0.5000
Na 0.0000 0.5000 0.8937
Na 0.5000 0.5000 0.5987
Na 0.0000 0.5000 0.5000
Na 0.5000 0.5000 0.0000
Na 0.5000 0.0000 0.1063
Na 0.0000 0.5000 0.6976
Na 0.5000 0.0000 0.3024
Na 0.0000 0.5000 0.1063
Na 0.0000 0.5000 0.3024
Na 0.5000 0.5000 0.2041
Na 0.5000 0.0000 0.6976
Na 0.5000 0.5000 0.4013
Hg 0.0000 0.0000 0.4014
Hg 0.0000 0.0000 0.7957
Hg 0.0000 0.0000 0.5986
Hg 0.0000 0.0000 0.2043
```

Results
As for the formation enthalpy at 0 K: -0.0975 eV per atom. For the uncorrected energy, the calculation gives -24.5 eV per cell. The calculation puts the spin magnetization at 0.0 μB/f.u. The calculation puts the density at 3.3 g/cm³.



No. 6
First-principles (PBE-GGA) data for a geometry-optimized NaMgHg3 structure, as listed in Alexandria. Values from VASP.

```
&SYSTEM
  ibrav = 0, nat = 5, ntyp = 3
/
ATOMIC_SPECIES
Mg 24.30 Mg.upf
Hg 200.59 Hg.upf
Na 22.99 Na.upf
CELL_PARAMETERS angstrom
4.5507 0.0000 0.0000
0.0000 4.5507 0.0000
-2.2753 -2.2753 6.5939
ATOMIC_POSITIONS crystal
Mg 0.6345 0.6345 0.2690
Hg 0.2670 0.7670 0.5340
Hg 0.7670 0.2670 0.5340
Hg 0.4292 0.4292 0.8585
Na 0.9925 0.9925 0.9850
```

Results
As for the formation enthalpy at 0 K: -0.0989 eV per atom. As for the energy above the most stable polymorph in this dataset: 0.104 eV per atom. For the uncorrected energy, the calculation gives -4.3 eV per cell. The calculation puts the spin magnetization at 0.0 μB/f.u. The calculation puts the density at 7.9 g/cm³.



No. 7
First-principles (PBE-GGA) data for a geometry-optimized Na3MgHg6 structure, as listed in Alexandria. Values from VASP.

```
&SYSTEM
  ibrav = 0, nat = 20, ntyp = 3
/
ATOMIC_SPECIES
Hg 200.59 Hg.upf
Na 22.99 Na.upf
Mg 24.30 Mg.upf
CELL_PARAMETERS angstrom
-1.9354 -4.1524 -0.5772
8.7660 -4.4277 2.4606
-3.0594 -0.0718 10.7776
ATOMIC_POSITIONS crystal
Hg 0.0000 0.7075 0.9028
Hg 0.5000 0.7924 0.4027
Hg 0.0001 0.9165 0.2434
Hg 0.4999 0.4165 0.2566
Hg 0.5000 0.8177 0.0652
Hg 0.5001 0.5835 0.7434
Hg 0.0000 0.2925 0.0972
Hg 0.5000 0.1823 0.9348
Hg 0.0000 0.3177 0.4349
Hg 0.9999 0.0835 0.7566
Hg 0.5000 0.2076 0.5973
Hg 0.0000 0.6823 0.5651
Na 0.5000 0.5000 0.0000
Na 0.4999 0.8840 0.7457
Na 0.0001 0.3840 0.7545
Na 0.9999 0.6160 0.2455
Na 0.0000 0.0000 0.5000
Na 0.5001 0.1160 0.2543
Mg 0.5000 0.5000 0.5000
Mg 0.0000 0.0000 0.0000
```

Results
As for the formation enthalpy at 0 K: -0.1915 eV per atom. For the uncorrected energy, the calculation gives -18.6 eV per cell. The calculation puts the spin magnetization at 0.0 μB/f.u. The calculation puts the density at 8.2 g/cm³.



No. 8
First-principles (PBE-GGA) data for a geometry-optimized NaMgHg3 structure, as listed in Alexandria. Values from VASP.

```
&SYSTEM
  ibrav = 0, nat = 5, ntyp = 3
/
ATOMIC_SPECIES
Hg 200.59 Hg.upf
Na 22.99 Na.upf
Mg 24.30 Mg.upf
CELL_PARAMETERS angstrom
-4.3823 2.5836 1.9644
1.3033 -1.6220 5.0408
2.9724 4.5203 0.6860
ATOMIC_POSITIONS crystal
Hg 0.5000 0.0000 0.0000
Hg 0.0000 0.5000 0.0000
Hg 0.0000 0.0000 0.5000
Na 0.5000 0.5000 0.5000
Mg 0.0000 0.0000 0.0000
```

Results
As for the formation enthalpy at 0 K: -0.0089 eV per atom. As for the energy above the most stable polymorph in this dataset: 0.194 eV per atom. For the uncorrected energy, the calculation gives -3.9 eV per cell. The calculation puts the spin magnetization at 0.0 μB/f.u. The calculation puts the density at 6.6 g/cm³.



No. 9
First-principles (PBE-GGA) data for a geometry-optimized NaMgHg structure, as listed in Alexandria. Values from VASP.

```
&SYSTEM
  ibrav = 0, nat = 6, ntyp = 3
/
ATOMIC_SPECIES
Mg 24.30 Mg.upf
Hg 200.59 Hg.upf
Na 22.99 Na.upf
CELL_PARAMETERS angstrom
-3.2100 -0.4874 -1.4647
1.5348 -1.3690 -2.9081
0.2551 -10.5513 7.2832
ATOMIC_POSITIONS crystal
Mg 0.2887 0.2887 0.5774
Mg 0.7113 0.7113 0.4226
Hg 0.8514 0.8514 0.7028
Hg 0.1486 0.1486 0.2972
Na 0.5695 0.5695 0.1390
Na 0.4305 0.4305 0.8610
```

Results
As for the formation enthalpy at 0 K: -0.1462 eV per atom. As for the energy above the most stable polymorph in this dataset: 0.016 eV per atom. For the uncorrected energy, the calculation gives -7.3 eV per cell. The calculation puts the spin magnetization at 0.0 μB/f.u. The calculation puts the density at 5.2 g/cm³.



No. 10
First-principles (PBE-GGA) data for a geometry-optimized NaMgHg2 structure, as listed in Alexandria. Values from VASP.

```
&SYSTEM
  ibrav = 0, nat = 4, ntyp = 3
/
ATOMIC_SPECIES
Mg 24.30 Mg.upf
Hg 200.59 Hg.upf
Na 22.99 Na.upf
CELL_PARAMETERS angstrom
3.4191 0.0000 0.0000
0.0000 3.4191 0.0000
0.0000 0.0000 8.0140
ATOMIC_POSITIONS crystal
Mg 0.5000 0.5000 0.0000
Hg 0.0000 0.0000 0.7698
Hg 0.0000 0.0000 0.2302
Na 0.5000 0.5000 0.5000
```

Results
As for the formation enthalpy at 0 K: -0.2248 eV per atom. For the uncorrected energy, the calculation gives -4.4 eV per cell. The calculation puts the spin magnetization at 0.0 μB/f.u. The calculation puts the density at 7.9 g/cm³.



No. 11
First-principles (PBE-GGA) data for a geometry-optimized NaMg3Hg10 structure, as listed in Alexandria. Values from VASP.

```
&SYSTEM
  ibrav = 0, nat = 28, ntyp = 3
/
ATOMIC_SPECIES
Hg 200.59 Hg.upf
Mg 24.30 Mg.upf
Na 22.99 Na.upf
CELL_PARAMETERS angstrom
-9.5598 -2.9974 2.3119
-1.5066 -8.3427 5.8179
-3.5193 1.0005 9.6090
ATOMIC_POSITIONS crystal
Hg 0.1356 0.6215 0.6215
Hg 0.3785 0.3785 0.8644
Hg 0.0000 0.3451 0.6549
Hg 0.0000 0.0000 0.3451
Hg 0.3451 0.6549 0.0000
Hg 0.6215 0.6215 0.6215
Hg 0.6549 0.3451 0.0000
Hg 0.6215 0.1356 0.6215
Hg 0.3785 0.3785 0.3785
Hg 0.8644 0.3785 0.3785
Hg 0.6549 0.0000 0.0000
Hg 0.3451 0.0000 0.0000
Hg 0.0000 0.3451 0.0000
Hg 0.6549 0.0000 0.3451
Hg 0.6215 0.6215 0.1356
Hg 0.3451 0.0000 0.6549
Hg 0.3785 0.8644 0.3785
Hg 0.0000 0.6549 0.0000
Hg 0.0000 0.6549 0.3451
Hg 0.0000 0.0000 0.6549
Mg 0.7306 0.2694 0.7306
Mg 0.2694 0.2694 0.7306
Mg 0.2694 0.7306 0.7306
Mg 0.7306 0.7306 0.2694
Mg 0.2694 0.7306 0.2694
Mg 0.7306 0.2694 0.2694
Na 0.7500 0.7500 0.7500
Na 0.2500 0.2500 0.2500
```

Results
As for the formation enthalpy at 0 K: -0.0716 eV per atom. For the uncorrected energy, the calculation gives -20.2 eV per cell. The calculation puts the spin magnetization at 0.0 μB/f.u. The calculation puts the density at 9.1 g/cm³.



No. 12
First-principles (PBE-GGA) data for a geometry-optimized Na4MgHg15 structure, as listed in Alexandria. Values from VASP.

```
&SYSTEM
  ibrav = 0, nat = 20, ntyp = 3
/
ATOMIC_SPECIES
Hg 200.59 Hg.upf
Na 22.99 Na.upf
Mg 24.30 Mg.upf
CELL_PARAMETERS angstrom
4.6764 0.0000 0.0000
0.0000 4.6764 0.0000
0.0000 0.0000 23.3596
ATOMIC_POSITIONS crystal
Hg 0.5000 0.5000 0.1953
Hg 0.5000 0.5000 0.6011
Hg 0.5000 0.0000 0.5000
Hg 0.0000 0.5000 0.5000
Hg 0.5000 0.5000 0.3989
Hg 0.5000 0.0000 0.2978
Hg 0.0000 0.5000 0.7022
Hg 0.0000 0.5000 0.2978
Hg 0.5000 0.5000 0.0000
Hg 0.5000 0.5000 0.8047
Hg 0.5000 0.0000 0.9040
Hg 0.0000 0.5000 0.0960
Hg 0.5000 0.0000 0.7022
Hg 0.0000 0.5000 0.9040
Hg 0.5000 0.0000 0.0960
Na 0.0000 0.0000 0.3986
Na 0.0000 0.0000 0.6014
Na 0.0000 0.0000 0.8043
Na 0.0000 0.0000 0.1957
Mg 0.0000 0.0000 0.0000
```

Results
As for the formation enthalpy at 0 K: -0.1586 eV per atom. For the uncorrected energy, the calculation gives -14.6 eV per cell. The calculation puts the spin magnetization at 0.0 μB/f.u. The calculation puts the density at 10.2 g/cm³.